# 1
Computed, not measured: a relaxed LiErSc2S4 crystal at the PBE-GGA level of DFT.

a b c (Å): 6.4436 3.7317 6.5361
angles (deg): 90.00 109.14 90.00
Last column: nearest neighbours and their distance in Å.
Space group P2/m (No. 10)
Symmetry-distinct sites (fractional):
Li (0.0000, 0.0000, 0.0000) [1 per cell]  6 S 2.64-2.66
Er (0.5000, 0.5000, 0.0000) [1 per cell]  6 S 2.69
Sc (0.0000, 0.5000, 0.5000) [1 per cell]  6 S 2.60-2.61
Sc (0.5000, 0.0000, 0.5000) [1 per cell]  6 S 2.64-2.65
S (0.2412, 0.0000, 0.7428) [2 per cell]  3 Sc 2.61-2.65, 1 Li 2.64, 2 Er 2.69
S (0.2482, 0.5000, 0.2564) [2 per cell]  3 Sc 2.60-2.64, 2 Li 2.66, 1 Er 2.69

**Uncorrected formation energy**: -1872.7 meV/atom
**VASP energy**: -6.3289 eV per atom
**Spin magnetization**: 0.0 μB per formula unit
**Fermi-level density of states**: 0.355 states/eV/atom



# 2
Computed, not measured: a relaxed TcIrW2 crystal at the PBE-GGA level of DFT.

a b c (Å): 5.6180 7.8511 2.7812
angles (deg): 90.00 90.00 90.00
Last column: nearest neighbours and their distance in Å.
Space group Cmmm (No. 65)
Symmetry-distinct sites (fractional):
Tc (0.0000, 0.0000, 0.0000) [2 per cell]  2 Tc 2.78, 8 W 2.79, 2 Ir 2.81
Ir (0.0000, 0.5000, 0.0000) [2 per cell]  2 Ir 2.78, 8 W 2.79, 2 Tc 2.81
W (0.2500, 0.2500, 0.5000) [4 per cell]  4 W 2.78-2.81, 4 Tc 2.79, 4 Ir 2.79

**Energy relative to the lowest polymorph listed for this composition**: 15 meV/atom
**VASP energy**: -11.3379 eV per atom
**Spin magnetization**: 0.0 μB per formula unit
**Fermi-level density of states**: 0.762 states/eV/atom
**Formation energy from the elements**: -0.05 eV per atom



# 3
Computed, not measured: a relaxed UGa4Co5 crystal at the PBE-GGA level of DFT.

a b c (Å): 2.8933 2.8933 15.2931
angles (deg): 90.00 90.00 90.00
Last column: nearest neighbours and their distance in Å.
Space group P4/mmm (No. 123)
Symmetry-distinct sites (fractional):
U (0.0000, 0.0000, 0.0000) [1 per cell]  8 Co 2.78, 4 U 2.89
Ga (0.0000, 0.0000, 0.2163) [2 per cell]  8 Co 2.49-2.52
Ga (0.0000, 0.0000, 0.4059) [2 per cell]  8 Co 2.49-2.50
Co (0.5000, 0.5000, 0.1230) [2 per cell]  4 Ga 2.49, 4 U 2.78
Co (0.5000, 0.5000, 0.3130) [2 per cell]  8 Ga 2.49-2.52
Co (0.5000, 0.5000, 0.5000) [1 per cell]  8 Ga 2.50

**VASP energy**: -6.1432 eV per atom
**Spin magnetization**: 0.8 μB per formula unit
**Fermi-level density of states**: 0.746 states/eV/atom
**Formation energy from the elements**: -0.25 eV per atom



# 4
Computed, not measured: a relaxed Sr2NpN3 crystal at the PBE-GGA level of DFT.

a b c (Å): 14.7394 5.4032 5.3705
angles (deg): 90.00 90.00 90.00
Last column: nearest neighbours and their distance in Å.
Space group Cmc2_1 (No. 36)
Symmetry-distinct sites (fractional):
Sr (0.1630, 0.2499, 0.0000) [8 per cell]  5 N 2.48-2.75
Np (0.0000, 0.2344, 0.5073) [4 per cell]  4 N 2.05-2.24
N (0.0000, 0.1686, 0.9196) [4 per cell]  2 Np 2.23-2.24, 2 Sr 2.48
N (0.1389, 0.2544, 0.4999) [8 per cell]  1 Np 2.05

**Energy relative to the lowest polymorph listed for this composition**: 0 meV/atom
**Uncorrected formation energy**: -952.5 meV/atom
**VASP energy**: -7.8325 eV per atom
**Spin magnetization**: 2.0 μB per formula unit
**Fermi-level density of states**: 0.515 states/eV/atom



# 5
Computed, not measured: a relaxed Cr5Co crystal at the PBE-GGA level of DFT.

a b c (Å): 9.5557 2.3800 6.2570
angles (deg): 90.00 103.52 90.00
Last column: nearest neighbours and their distance in Å.
Space group Cm (No. 8)
Symmetry-distinct sites (fractional):
Cr (0.0000, 0.0000, 0.0000) [2 per cell]  8 Cr 2.38-2.66, 2 Co 2.54
Cr (0.0628, 0.0000, 0.6501) [2 per cell]  9 Cr 2.38-2.59, 3 Co 2.53-2.56
Cr (0.1651, 0.5000, 0.3512) [2 per cell]  8 Cr 2.38-2.64, 2 Co 2.59
Cr (0.2400, 0.5000, 0.9702) [2 per cell]  10 Cr 2.38-2.64, 2 Co 2.51
Cr (0.3998, 0.0000, 0.3145) [2 per cell]  11 Cr 2.38-2.66, 1 Co 2.51
Co (0.3344, 0.0000, 0.6796) [2 per cell]  2 Co 2.38, 10 Cr 2.51-2.59

**Energy relative to the lowest polymorph listed for this composition**: 187 meV/atom
**VASP energy**: -8.9680 eV per atom
**Spin magnetization**: 0.0 μB per formula unit
**Fermi-level density of states**: 1.433 states/eV/atom
**Formation energy from the elements**: 0.24 eV per atom



# 6
Computed, not measured: a relaxed NaCa2CrGe crystal at the PBE-GGA level of DFT.

a b c (Å): 5.6237 5.6237 4.9135
angles (deg): 90.00 90.00 90.00
Last column: nearest neighbours and their distance in Å.
Space group P4/mmm (No. 123)
Symmetry-distinct sites (fractional):
Na (0.0000, 0.0000, 0.0000) [1 per cell]  2 Ge 2.46
Ca (0.0000, 0.5000, 0.0000) [2 per cell]  2 Na 2.81
Cr (0.5000, 0.5000, 0.5000) [1 per cell]  8 Ca 3.73, 4 Ge 3.98
Ge (0.0000, 0.0000, 0.5000) [1 per cell]  2 Na 2.46

**Energy relative to the lowest polymorph listed for this composition**: 528 meV/atom
**VASP energy**: -3.1219 eV per atom
**Spin magnetization**: 4.9 μB per formula unit
**Fermi-level density of states**: 0.346 states/eV/atom
**Formation energy from the elements**: 0.79 eV per atom



# 7
Computed, not measured: a relaxed BaHgMo4 crystal at the PBE-GGA level of DFT.

a b c (Å): 7.8776 7.8776 7.8776
angles (deg): 90.00 90.00 90.00
Last column: nearest neighbours and their distance in Å.
Space group F-43m (No. 216)
Symmetry-distinct sites (fractional):
Ba (0.0000, 0.0000, 0.0000) [4 per cell]  12 Mo 3.26, 4 Hg 3.41
Hg (0.2500, 0.2500, 0.7500) [4 per cell]  12 Mo 3.27, 4 Ba 3.41
Mo (0.1267, 0.1267, 0.3733) [16 per cell]  6 Mo 2.75-2.82

**VASP energy**: -6.7089 eV per atom
**Spin magnetization**: 0.0 μB per formula unit
**Fermi-level density of states**: 1.248 states/eV/atom
**Formation energy from the elements**: 0.88 eV per atom



# 8
Computed, not measured: a relaxed InSiGePt2 crystal at the PBE-GGA level of DFT.

a b c (Å): 5.0021 5.0021 4.9831
angles (deg): 90.00 90.00 90.00
Last column: nearest neighbours and their distance in Å.
Space group P4/mmm (No. 123)
Symmetry-distinct sites (fractional):
In (0.0000, 0.0000, 0.0000) [1 per cell]  2 Ge 2.49, 4 Pt 2.50
Si (0.5000, 0.5000, 0.5000) [1 per cell]  8 Pt 3.53, 4 Ge 3.54
Ge (0.0000, 0.0000, 0.5000) [1 per cell]  2 In 2.49
Pt (0.0000, 0.5000, 0.0000) [2 per cell]  2 In 2.50

**Uncorrected formation energy**: 1157.0 meV/atom
**VASP energy**: -3.8151 eV per atom
**Spin magnetization**: 0.0 μB per formula unit
**Fermi-level density of states**: 0.595 states/eV/atom



# 9
Computed, not measured: a relaxed Ta2ReMo6 crystal at the PBE-GGA level of DFT.

a b c (Å): 7.9704 8.1155 4.5488
angles (deg): 90.00 90.00 90.00
Last column: nearest neighbours and their distance in Å.
Space group Pnnm (No. 58)
Symmetry-distinct sites (fractional):
Ta (0.1655, 0.2329, 0.0000) [4 per cell]  10 Mo 2.72-2.97
Re (0.0000, 0.0000, 0.5000) [2 per cell]  8 Mo 2.71-2.75
Mo (0.0022, 0.3340, 0.5000) [4 per cell]  4 Mo 2.69-2.73, 1 Re 2.71, 3 Ta 2.74-2.75
Mo (0.1641, 0.5746, 0.0000) [4 per cell]  4 Mo 2.62-2.88, 1 Re 2.75, 1 Ta 2.77
Mo (0.1637, 0.8977, 0.0000) [4 per cell]  2 Mo 2.62-2.71, 2 Ta 2.72-2.83, 2 Re 2.75

**Energy relative to the lowest polymorph listed for this composition**: 0 meV/atom
**VASP energy**: -11.2158 eV per atom
**Spin magnetization**: 0.0 μB per formula unit
**Fermi-level density of states**: 0.521 states/eV/atom
**Formation energy from the elements**: 0.02 eV per atom



# 10
Computed, not measured: a relaxed Li3Tm3HfSe8 crystal at the PBE-GGA level of DFT.

a b c (Å): 7.9675 7.9675 19.5009
angles (deg): 90.00 90.00 120.00
Last column: nearest neighbours and their distance in Å.
Space group R-3m (No. 166, hexagonal axes)
Symmetry-distinct sites (fractional):
Li (0.0000, 0.5000, 0.0000) [9 per cell]  6 Se 2.81
Tm (0.0000, 0.5000, 0.5000) [9 per cell]  6 Se 2.82-2.83
Hf (0.0000, 0.0000, 0.5000) [3 per cell]  6 Se 2.71
Se (0.0000, 0.0000, 0.2505) [6 per cell]  3 Li 2.81, 3 Tm 2.82
Se (0.0139, 0.5070, 0.2475) [18 per cell]  1 Hf 2.71, 2 Li 2.81, 2 Tm 2.83

**Uncorrected formation energy**: -1621.6 meV/atom
**VASP energy**: -5.4206 eV per atom
**Spin magnetization**: 0.0 μB per formula unit



# 11
Computed, not measured: a relaxed Sm7Bi2Au2 crystal at the PBE-GGA level of DFT.

a b c (Å): 9.2297 11.2712 7.0101
angles (deg): 90.00 90.00 90.00
Last column: nearest neighbours and their distance in Å.
Space group Cmmm (No. 65)
Symmetry-distinct sites (fractional):
Sm (0.0000, 0.0000, 0.0000) [2 per cell]  2 Au 3.10
Sm (0.0000, 0.5000, 0.2410) [4 per cell]  2 Au 3.04, 1 Sm 3.38, 2 Bi 3.38
Sm (0.2500, 0.2500, 0.2550) [8 per cell]  2 Au 2.93
Bi (0.1907, 0.0000, 0.5000) [4 per cell]  6 Sm 3.35-3.38, 1 Bi 3.52
Au (0.0000, 0.2753, 0.0000) [4 per cell]  7 Sm 2.93-3.10

**VASP energy**: -4.6945 eV per atom
**Spin magnetization**: 0.0 μB per formula unit
**Fermi-level density of states**: 0.888 states/eV/atom
**Formation energy from the elements**: -0.39 eV per atom



# 12
Computed, not measured: a relaxed InGaCoSn2 crystal at the PBE-GGA level of DFT.

a b c (Å): 5.0153 5.0153 4.6178
angles (deg): 90.00 90.00 90.00
Last column: nearest neighbours and their distance in Å.
Space group P4/mmm (No. 123)
Symmetry-distinct sites (fractional):
In (0.0000, 0.0000, 0.0000) [1 per cell]  8 Sn 3.41, 4 Ga 3.55
Ga (0.5000, 0.5000, 0.0000) [1 per cell]  2 Co 2.31
Co (0.5000, 0.5000, 0.5000) [1 per cell]  2 Ga 2.31, 4 Sn 2.51
Sn (0.0000, 0.5000, 0.5000) [2 per cell]  2 Co 2.51

**Energy relative to the lowest polymorph listed for this composition**: 0 meV/atom
**VASP energy**: -4.1439 eV per atom
**Spin magnetization**: 0.0 μB per formula unit
**Fermi-level density of states**: 0.753 states/eV/atom
**Formation energy from the elements**: 0.03 eV per atom



Look up the VASP energy of the third one.
-6.1432 eV per atom



The highest VASP energy belongs to which entry?
NaCa2CrGe



Please write out number 4 again, unchanged.
Computed, not measured: a relaxed Sr2NpN3 crystal at the PBE-GGA level of DFT.

a b c (Å): 14.7394 5.4032 5.3705
angles (deg): 90.00 90.00 90.00
Last column: nearest neighbours and their distance in Å.
Space group Cmc2_1 (No. 36)
Symmetry-distinct sites (fractional):
Sr (0.1630, 0.2499, 0.0000) [8 per cell]  5 N 2.48-2.75
Np (0.0000, 0.2344, 0.5073) [4 per cell]  4 N 2.05-2.24
N (0.0000, 0.1686, 0.9196) [4 per cell]  2 Np 2.23-2.24, 2 Sr 2.48
N (0.1389, 0.2544, 0.4999) [8 per cell]  1 Np 2.05

**Energy relative to the lowest polymorph listed for this composition**: 0 meV/atom
**Uncorrected formation energy**: -952.5 meV/atom
**VASP energy**: -7.8325 eV per atom
**Spin magnetization**: 2.0 μB per formula unit
**Fermi-level density of states**: 0.515 states/eV/atom



Among the records above, which one has the highest VASP energy?
NaCa2CrGe